# 1
The following is a PBE-GGA calculation of La14DyEr after structural relaxation, from the Alexandria database.

CIF file:
```
data_La14DyEr
_chemical_formula_sum 'La14 Dy1 Er1'
_space_group_name_H-M_alt 'P 1'
_space_group_IT_number 1
_cell_length_a 11.835
_cell_length_b 7.141
_cell_length_c 7.141
_cell_angle_alpha 107.20
_cell_angle_beta 90.00
_cell_angle_gamma 90.00
loop_
_space_group_symop_operation_xyz
'x,y,z'
loop_
_atom_site_label
_atom_site_type_symbol
_atom_site_fract_x
_atom_site_fract_y
_atom_site_fract_z
La1 La 0.000 0.000 0.000
La2 La 0.000 0.429 0.429
La3 La 0.000 0.536 0.952
La4 La 0.000 0.952 0.536
La5 La 0.244 0.245 0.815
La6 La 0.244 0.815 0.245
La7 La 0.258 0.312 0.312
La8 La 0.264 0.749 0.749
La9 La 0.500 0.521 0.990
La10 La 0.500 0.990 0.521
La11 La 0.736 0.749 0.749
La12 La 0.742 0.312 0.312
La13 La 0.756 0.245 0.815
La14 La 0.756 0.815 0.245
Dy1 Dy 0.500 0.042 0.042
Er1 Er 0.500 0.488 0.488
```

Values from the calculation:
DOS(E_F) ... 26.8 states/eV/f.u.
Symmetry ... Amm2
E_form ... 78.6 meV per atom
Mass density ... 6.55 Mg/m³
Calculated total energy ... -4.81 eV per atom
V ... 36.0 Å³ per atom


# 2
The following is a PBE-GGA calculation of RbPu2CuTe4 after structural relaxation, from the Alexandria database.

CIF file:
```
data_RbPu2CuTe4
_chemical_formula_sum 'Rb2 Pu4 Cu2 Te8'
_space_group_name_H-M_alt 'P 1'
_space_group_IT_number 1
_cell_length_a 8.061
_cell_length_b 8.061
_cell_length_c 15.448
_cell_angle_alpha 90.00
_cell_angle_beta 90.00
_cell_angle_gamma 147.91
loop_
_space_group_symop_operation_xyz
'x,y,z'
loop_
_atom_site_label
_atom_site_type_symbol
_atom_site_fract_x
_atom_site_fract_y
_atom_site_fract_z
Rb1 Rb 0.109 0.891 0.750
Rb2 Rb 0.891 0.109 0.250
Pu1 Pu 0.367 0.633 0.561
Pu2 Pu 0.367 0.633 0.939
Pu3 Pu 0.633 0.367 0.061
Pu4 Pu 0.633 0.367 0.439
Cu1 Cu 0.162 0.838 0.250
Cu2 Cu 0.838 0.162 0.750
Te1 Te 0.000 0.000 0.000
Te2 Te 0.000 0.000 0.500
Te3 Te 0.263 0.737 0.112
Te4 Te 0.263 0.737 0.388
Te5 Te 0.429 0.571 0.750
Te6 Te 0.571 0.429 0.250
Te7 Te 0.737 0.263 0.612
Te8 Te 0.737 0.263 0.888
```

Values from the calculation:
DOS(E_F) ... 25.2 states/eV/f.u.
Symmetry ... Cmcm
Mass density ... 7.15 Mg/m³
Calculated total energy ... -6.68 eV per atom
ΔE_f (raw) ... -7.19 eV/f.u.
V ... 33.3 Å³ per atom


# 3
The following is a PBE-GGA calculation of Rb3PmPr2S6 after structural relaxation, from the Alexandria database.

CIF file:
```
data_Rb3PmPr2S6
_chemical_formula_sum 'Rb3 Pm1 Pr2 S6'
_space_group_name_H-M_alt 'P 1'
_space_group_IT_number 1
_cell_length_a 7.338
_cell_length_b 7.338
_cell_length_c 8.103
_cell_angle_alpha 98.68
_cell_angle_beta 98.68
_cell_angle_gamma 120.00
loop_
_space_group_symop_operation_xyz
'x,y,z'
loop_
_atom_site_label
_atom_site_type_symbol
_atom_site_fract_x
_atom_site_fract_y
_atom_site_fract_z
Rb1 Rb 0.000 0.000 0.000
Rb2 Rb 0.333 0.667 0.000
Rb3 Rb 0.667 0.333 0.000
Pm1 Pm 0.500 0.500 0.500
Pr1 Pr 0.167 0.833 0.500
Pr2 Pr 0.833 0.167 0.500
S1 S 0.104 0.434 0.302
S2 S 0.236 0.236 0.698
S3 S 0.434 0.104 0.302
S4 S 0.566 0.896 0.698
S5 S 0.764 0.764 0.302
S6 S 0.896 0.566 0.698
```

Values from the calculation:
DOS(E_F) ... 0.0 states/eV/f.u.
Symmetry ... C2/m
Mass density ... 4.04 Mg/m³
Calculated total energy ... -5.32 eV per atom
ΔE_f (raw) ... -21.87 eV/f.u.
V ... 30.0 Å³ per atom


# 4
The following is a PBE-GGA calculation of Pm4PrAg5 after structural relaxation, from the Alexandria database.

CIF file:
```
data_Pm4PrAg5
_chemical_formula_sum 'Pm4 Pr1 Ag5'
_space_group_name_H-M_alt 'P 1'
_space_group_IT_number 1
_cell_length_a 3.715
_cell_length_b 3.715
_cell_length_c 18.994
_cell_angle_alpha 90.00
_cell_angle_beta 90.00
_cell_angle_gamma 90.00
loop_
_space_group_symop_operation_xyz
'x,y,z'
loop_
_atom_site_label
_atom_site_type_symbol
_atom_site_fract_x
_atom_site_fract_y
_atom_site_fract_z
Pm1 Pm 0.000 0.000 0.099
Pm2 Pm 0.000 0.000 0.298
Pm3 Pm 0.000 0.000 0.702
Pm4 Pm 0.000 0.000 0.901
Pr1 Pr 0.000 0.000 0.500
Ag1 Ag 0.500 0.500 0.000
Ag2 Ag 0.500 0.500 0.199
Ag3 Ag 0.500 0.500 0.396
Ag4 Ag 0.500 0.500 0.604
Ag5 Ag 0.500 0.500 0.801
```

Values from the calculation:
DOS(E_F) ... 7.3 states/eV/f.u.
Symmetry ... P4/mmm
E_form ... -266.1 meV per atom
Mass density ... 7.98 Mg/m³
Calculated total energy ... -4.07 eV per atom
V ... 26.2 Å³ per atom


# 5
The following is a PBE-GGA calculation of MnFe3Ni after structural relaxation, from the Alexandria database.

CIF file:
```
data_MnFe3Ni
_chemical_formula_sum 'Mn1 Fe3 Ni1'
_space_group_name_H-M_alt 'P 1'
_space_group_IT_number 1
_cell_length_a 4.314
_cell_length_b 4.314
_cell_length_c 4.314
_cell_angle_alpha 90.00
_cell_angle_beta 90.00
_cell_angle_gamma 90.00
loop_
_space_group_symop_operation_xyz
'x,y,z'
loop_
_atom_site_label
_atom_site_type_symbol
_atom_site_fract_x
_atom_site_fract_y
_atom_site_fract_z
Mn1 Mn 0.000 0.000 0.000
Fe1 Fe 0.000 0.500 0.500
Fe2 Fe 0.500 0.000 0.500
Fe3 Fe 0.500 0.500 0.000
Ni1 Ni 0.500 0.500 0.500
```

Values from the calculation:
DOS(E_F) ... 6.9 states/eV/f.u.
Symmetry ... Pm-3m
Energy relative to the lowest polymorph listed for this composition ... 910 meV per atom
E_form ... 1020.0 meV per atom
Mass density ... 5.82 Mg/m³
Calculated total energy ... -7.05 eV per atom
V ... 16.1 Å³ per atom


# 6
The following is a PBE-GGA calculation of ZnTe2As after structural relaxation, from the Alexandria database.

CIF file:
```
data_ZnTe2As
_chemical_formula_sum 'Zn4 Te8 As4'
_space_group_name_H-M_alt 'P 1'
_space_group_IT_number 1
_cell_length_a 7.200
_cell_length_b 7.200
_cell_length_c 7.200
_cell_angle_alpha 90.00
_cell_angle_beta 90.00
_cell_angle_gamma 90.00
loop_
_space_group_symop_operation_xyz
'x,y,z'
loop_
_atom_site_label
_atom_site_type_symbol
_atom_site_fract_x
_atom_site_fract_y
_atom_site_fract_z
Zn1 Zn 0.000 0.000 0.000
Zn2 Zn 0.000 0.500 0.500
Zn3 Zn 0.500 0.000 0.500
Zn4 Zn 0.500 0.500 0.000
Te1 Te 0.250 0.250 0.250
Te2 Te 0.250 0.250 0.750
Te3 Te 0.250 0.750 0.250
Te4 Te 0.250 0.750 0.750
Te5 Te 0.750 0.250 0.250
Te6 Te 0.750 0.250 0.750
Te7 Te 0.750 0.750 0.250
Te8 Te 0.750 0.750 0.750
As1 As 0.000 0.000 0.500
As2 As 0.000 0.500 0.000
As3 As 0.500 0.000 0.000
As4 As 0.500 0.500 0.500
```

Values from the calculation:
DOS(E_F) ... 2.7 states/eV/f.u.
Symmetry ... Fm-3m
Energy relative to the lowest polymorph listed for this composition ... 390 meV per atom
Mass density ... 7.04 Mg/m³
Calculated total energy ... -2.72 eV per atom
ΔE_f (raw) ... 1.31 eV/f.u.
V ... 23.3 Å³ per atom


# 7
The following is a PBE-GGA calculation of Ac2YErHg6 after structural relaxation, from the Alexandria database.

CIF file:
```
data_Ac2YErHg6
_chemical_formula_sum 'Ac2 Y1 Er1 Hg6'
_space_group_name_H-M_alt 'P 1'
_space_group_IT_number 1
_cell_length_a 5.625
_cell_length_b 6.623
_cell_length_c 8.910
_cell_angle_alpha 102.56
_cell_angle_beta 108.37
_cell_angle_gamma 103.41
loop_
_space_group_symop_operation_xyz
'x,y,z'
loop_
_atom_site_label
_atom_site_type_symbol
_atom_site_fract_x
_atom_site_fract_y
_atom_site_fract_z
Ac1 Ac 0.147 0.376 0.314
Ac2 Ac 0.853 0.624 0.686
Y1 Y 0.500 0.000 0.500
Er1 Er 0.500 0.500 0.000
Hg1 Hg 0.094 0.752 0.106
Hg2 Hg 0.158 0.213 0.643
Hg3 Hg 0.479 0.866 0.831
Hg4 Hg 0.521 0.134 0.169
Hg5 Hg 0.842 0.787 0.357
Hg6 Hg 0.906 0.248 0.894
```

Values from the calculation:
DOS(E_F) ... 8.6 states/eV/f.u.
Symmetry ... P-1
E_form ... -320.9 meV per atom
Mass density ... 10.93 Mg/m³
Calculated total energy ... -2.43 eV per atom
V ... 29.1 Å³ per atom


# 8
The following is a PBE-GGA calculation of Er4Pd2Rh after structural relaxation, from the Alexandria database.

CIF file:
```
data_Er4Pd2Rh
_chemical_formula_sum 'Er4 Pd2 Rh1'
_space_group_name_H-M_alt 'P 1'
_space_group_IT_number 1
_cell_length_a 8.453
_cell_length_b 8.453
_cell_length_c 8.453
_cell_angle_alpha 33.27
_cell_angle_beta 33.27
_cell_angle_gamma 33.27
loop_
_space_group_symop_operation_xyz
'x,y,z'
loop_
_atom_site_label
_atom_site_type_symbol
_atom_site_fract_x
_atom_site_fract_y
_atom_site_fract_z
Er1 Er 0.124 0.124 0.124
Er2 Er 0.374 0.374 0.374
Er3 Er 0.626 0.626 0.626
Er4 Er 0.876 0.876 0.876
Pd1 Pd 0.250 0.250 0.250
Pd2 Pd 0.750 0.750 0.750
Rh1 Rh 0.000 0.000 0.000
```

Values from the calculation:
DOS(E_F) ... 4.7 states/eV/f.u.
Symmetry ... R-3m
E_form ... -777.1 meV per atom
Mass density ... 10.11 Mg/m³
Calculated total energy ... -5.92 eV per atom
V ... 23.1 Å³ per atom


# 9
The following is a PBE-GGA calculation of LaDy2Er3 after structural relaxation, from the Alexandria database.

CIF file:
```
data_LaDy2Er3
_chemical_formula_sum 'La2 Dy4 Er6'
_space_group_name_H-M_alt 'P 1'
_space_group_IT_number 1
_cell_length_a 11.108
_cell_length_b 11.108
_cell_length_c 11.340
_cell_angle_alpha 120.50
_cell_angle_beta 120.50
_cell_angle_gamma 18.86
loop_
_space_group_symop_operation_xyz
'x,y,z'
loop_
_atom_site_label
_atom_site_type_symbol
_atom_site_fract_x
_atom_site_fract_y
_atom_site_fract_z
La1 La 0.111 0.111 0.485
La2 La 0.889 0.889 0.515
Dy1 Dy 0.224 0.224 0.851
Dy2 Dy 0.442 0.442 0.310
Dy3 Dy 0.558 0.558 0.690
Dy4 Dy 0.776 0.776 0.149
Er1 Er 0.111 0.111 0.988
Er2 Er 0.221 0.221 0.344
Er3 Er 0.445 0.445 0.825
Er4 Er 0.555 0.555 0.175
Er5 Er 0.779 0.779 0.656
Er6 Er 0.889 0.889 0.012
```

Values from the calculation:
DOS(E_F) ... 10.2 states/eV/f.u.
Symmetry ... C2/m
Energy relative to the lowest polymorph listed for this composition ... 0 meV per atom
E_form ... 18.3 meV per atom
Mass density ... 8.27 Mg/m³
Calculated total energy ... -4.62 eV per atom
V ... 32.3 Å³ per atom


# 10
The following is a PBE-GGA calculation of Li4CrRe after structural relaxation, from the Alexandria database.

CIF file:
```
data_Li4CrRe
_chemical_formula_sum 'Li4 Cr1 Re1'
_space_group_name_H-M_alt 'P 1'
_space_group_IT_number 1
_cell_length_a 4.802
_cell_length_b 4.802
_cell_length_c 4.802
_cell_angle_alpha 60.00
_cell_angle_beta 60.00
_cell_angle_gamma 60.00
loop_
_space_group_symop_operation_xyz
'x,y,z'
loop_
_atom_site_label
_atom_site_type_symbol
_atom_site_fract_x
_atom_site_fract_y
_atom_site_fract_z
Li1 Li 0.124 0.124 0.124
Li2 Li 0.124 0.124 0.627
Li3 Li 0.124 0.627 0.124
Li4 Li 0.627 0.124 0.124
Cr1 Cr 0.500 0.500 0.500
Re1 Re 0.750 0.750 0.750
```

Values from the calculation:
DOS(E_F) ... 4.6 states/eV/f.u.
Symmetry ... F-43m
E_form ... 577.6 meV per atom
Mass density ... 5.64 Mg/m³
Calculated total energy ... -4.38 eV per atom
V ... 13.1 Å³ per atom


# 11
The following is a PBE-GGA calculation of Ta3TlV after structural relaxation, from the Alexandria database.

CIF file:
```
data_Ta3TlV
_chemical_formula_sum 'Ta3 Tl1 V1'
_space_group_name_H-M_alt 'P 1'
_space_group_IT_number 1
_cell_length_a 5.060
_cell_length_b 5.060
_cell_length_c 5.060
_cell_angle_alpha 90.00
_cell_angle_beta 90.00
_cell_angle_gamma 90.00
loop_
_space_group_symop_operation_xyz
'x,y,z'
loop_
_atom_site_label
_atom_site_type_symbol
_atom_site_fract_x
_atom_site_fract_y
_atom_site_fract_z
Ta1 Ta 0.000 0.000 0.500
Ta2 Ta 0.000 0.500 0.000
Ta3 Ta 0.500 0.000 0.000
Tl1 Tl 0.000 0.000 0.000
V1 V 0.500 0.500 0.500
```

Values from the calculation:
DOS(E_F) ... 8.2 states/eV/f.u.
Symmetry ... Pm-3m
Energy relative to the lowest polymorph listed for this composition ... 1435 meV per atom
E_form ... 2564.0 meV per atom
Mass density ... 10.23 Mg/m³
Calculated total energy ... -6.84 eV per atom
V ... 25.9 Å³ per atom


> calculated total energy of number 2 (RbPu2CuTe4)?

-6.68 eV per atom


> What is the V in the eighth record?

23.1 Å³ per atom


> Which of these has the highest calculated total energy?

Ac2YErHg6


> What is the DOS(E_F) in the ninth record?

10.2 states/eV/f.u.